A relaxed Mg2IrO4 crystal. Source: the Alexandria database, functional PBE-GGA.

Properties
energy: -6.283 eV/atom
magnetic moment: 0.92 μB/cell
E_form (uncorrected): -12.10 eV/f.u.
Fermi-level density of states: 3.2 states/eV/f.u.

Cell: 3.208 5.185 5.773 Å, 121.42 106.13 90.00°
Each line ends with the local moment (μB).
Fractional positions:
1 O 0.126 0.832 0.253  0.07
2 O 0.380 0.733 0.760  0.06
3 O 0.874 0.168 0.747  0.07
4 O 0.620 0.267 0.240  0.06
5 Mg 0.691 0.717 0.381  0.00
6 Mg 0.309 0.283 0.619  0.00
7 Ir 0.000 0.000 0.000  0.58

---

A relaxed Mg2IrO crystal. Source: the Alexandria database, functional PBE-GGA.

Properties
energy: -5.038 eV/atom
magnetic moment: 1.63 μB/cell
E_form (uncorrected): -3.14 eV/f.u.
Fermi-level density of states: 3.3 states/eV/f.u.
distance to the lowest polymorph of the same formula: 0 meV/atom

Cell: 5.902 5.902 5.517 Å, 57.66 57.66 90.00°
Each line ends with the local moment (μB).
Fractional positions:
1 O 0.250 0.750 0.500  0.02
2 O 0.500 0.500 0.000  0.02
3 Ir 0.750 0.250 0.500  0.79
4 Ir 0.000 0.000 0.000  0.79
5 Mg 0.375 0.474 0.750  0.00
6 Mg 0.526 0.125 0.250  0.00
7 Mg 0.224 0.625 0.250  0.00
8 Mg 0.875 0.776 0.750  0.00

---

A relaxed Mg3IrO6 crystal. Source: the Alexandria database, functional PBE-GGA.

Properties
energy: -6.188 eV/atom
magnetic moment: 5.82 μB/cell
E_form (uncorrected): -18.48 eV/f.u.
Fermi-level density of states: 2.6 states/eV/f.u.

Cell: 6.080 6.080 6.080 Å, 91.17 91.17 91.17°
Each line ends with the local moment (μB).
Fractional positions:
1 O 0.196 0.546 0.407  0.17
2 O 0.924 0.698 0.077  0.17
3 O 0.077 0.924 0.698  0.17
4 O 0.804 0.454 0.593  0.17
5 O 0.454 0.593 0.804  0.17
6 O 0.302 0.923 0.076  0.17
7 O 0.407 0.196 0.546  0.17
8 O 0.076 0.302 0.923  0.17
9 O 0.546 0.407 0.196  0.17
10 O 0.923 0.076 0.302  0.17
11 O 0.593 0.804 0.454  0.17
12 O 0.698 0.077 0.924  0.17
13 Ir 0.000 0.000 0.000  1.54
14 Ir 0.500 0.500 0.500  1.54
15 Mg 0.440 0.933 0.750  0.01
16 Mg 0.250 0.560 0.067  0.01
17 Mg 0.067 0.250 0.560  0.01
18 Mg 0.560 0.067 0.250  0.01
19 Mg 0.933 0.750 0.440  0.01
20 Mg 0.750 0.440 0.933  0.01

---

A relaxed Mg2Ir2O5 crystal. Source: the Alexandria database, functional PBE-GGA.

Properties
energy: -5.963 eV/atom
magnetic moment: 1.30 μB/cell
E_form (uncorrected): -7.97 eV/f.u.
Fermi-level density of states: 9.9 states/eV/f.u.

Cell: 3.455 3.455 8.556 Å, 90.00 90.00 90.00°
Each line ends with the local moment (μB).
Fractional positions:
1 O 0.500 0.000 0.138  0.00
2 O 0.500 0.000 0.862  0.00
3 O 0.000 0.000 0.500  0.05
4 O 0.000 0.500 0.138  0.00
5 O 0.000 0.500 0.862  0.00
6 Mg 0.000 0.000 0.256  0.00
7 Mg 0.000 0.000 0.744  0.00
8 Ir 0.500 0.500 0.000  0.01
9 Ir 0.500 0.500 0.500  1.19

---

A relaxed MgIr2O6 crystal. Source: the Alexandria database, functional PBE-GGA.

Properties
energy: -6.554 eV/atom
magnetic moment: 0.00 μB/cell
E_form (uncorrected): -9.92 eV/f.u.
Fermi-level density of states: 6.8 states/eV/f.u.

Cell: 4.299 8.736 8.736 Å, 120.00 90.00 90.00°
Fractional positions:
1 O 0.757 0.225 0.110
2 O 0.255 0.441 0.217
3 O 0.749 0.892 0.453
4 O 0.749 0.561 0.108
5 O 0.251 0.439 0.547
6 O 0.251 0.453 0.892
7 O 0.255 0.775 0.559
8 O 0.745 0.217 0.441
9 O 0.243 0.116 0.890
10 O 0.243 0.775 0.884
11 O 0.255 0.783 0.225
12 O 0.757 0.884 0.775
13 O 0.251 0.108 0.561
14 O 0.745 0.225 0.783
15 O 0.745 0.559 0.775
16 O 0.749 0.547 0.439
17 O 0.243 0.110 0.225
18 O 0.757 0.890 0.116
19 Ir 0.500 0.675 0.000
20 Ir 0.000 0.341 0.000
21 Ir 0.000 0.659 0.659
22 Ir 0.500 0.000 0.675
23 Ir 0.000 0.000 0.341
24 Ir 0.500 0.325 0.325
25 Mg 0.000 0.000 0.000
26 Mg 0.501 0.667 0.333
27 Mg 0.499 0.333 0.667

---

A relaxed Mg3Ir2O8 crystal. Source: the Alexandria database, functional PBE-GGA.

Properties
energy: -6.241 eV/atom
magnetic moment: 3.75 μB/cell
E_form (uncorrected): -18.96 eV/f.u.
Fermi-level density of states: 2.8 states/eV/f.u.

Cell: 5.211 6.010 6.010 Å, 63.00 73.38 73.38°
Each line ends with the local moment (μB).
Fractional positions:
1 O 0.179 0.372 0.372  0.33
2 O 0.821 0.628 0.628  0.33
3 O 0.774 0.118 0.118  0.25
4 O 0.784 0.095 0.635  0.04
5 O 0.226 0.882 0.882  0.25
6 O 0.216 0.905 0.365  0.04
7 O 0.216 0.365 0.905  0.04
8 O 0.784 0.635 0.095  0.04
9 Mg 0.000 0.745 0.255  0.02
10 Mg 0.500 0.000 0.000  0.00
11 Mg 0.000 0.255 0.745  0.02
12 Ir 0.974 0.251 0.251  1.01
13 Ir 0.026 0.749 0.749  1.01

---

A relaxed MgIr2O crystal. Source: the Alexandria database, functional PBE-GGA.

Properties
energy: -5.336 eV/atom
magnetic moment: 0.95 μB/cell
E_form (uncorrected): 2.93 eV/f.u.
Fermi-level density of states: 5.2 states/eV/f.u.
distance to the lowest polymorph of the same formula: 570 meV/atom

Cell: 4.236 4.236 4.236 Å, 60.00 60.00 60.00°
Each line ends with the local moment (μB).
Fractional positions:
1 Mg 0.500 0.500 0.500  0.00
2 Ir 0.250 0.250 0.250  0.35
3 Ir 0.750 0.750 0.750  0.35
4 O 0.000 0.000 0.000  0.22

---

A relaxed Mg2Ir2O7 crystal. Source: the Alexandria database, functional PBE-GGA.

Properties
energy: -6.397 eV/atom
magnetic moment: 0.00 μB/cell
E_form (uncorrected): -14.74 eV/f.u.
Fermi-level density of states: 10.6 states/eV/f.u.

Cell: 7.072 7.072 7.072 Å, 60.00 60.00 60.00°
Fractional positions:
1 O 0.207 0.793 0.207
2 O 0.457 0.043 0.457
3 O 0.457 0.043 0.043
4 O 0.043 0.457 0.457
5 O 0.793 0.793 0.207
6 O 0.750 0.750 0.750
7 O 0.793 0.207 0.793
8 O 0.207 0.793 0.793
9 O 0.793 0.207 0.207
10 O 0.457 0.457 0.043
11 O 0.043 0.457 0.043
12 O 0.207 0.207 0.793
13 O 0.500 0.500 0.500
14 O 0.043 0.043 0.457
15 Ir 0.125 0.125 0.625
16 Ir 0.125 0.625 0.125
17 Ir 0.125 0.125 0.125
18 Ir 0.625 0.125 0.125
19 Mg 0.625 0.625 0.125
20 Mg 0.625 0.625 0.625
21 Mg 0.625 0.125 0.625
22 Mg 0.125 0.625 0.625

---

A relaxed MgIr2O crystal. Source: the Alexandria database, functional PBE-GGA.

Properties
energy: -5.906 eV/atom
magnetic moment: 0.00 μB/cell
E_form (uncorrected): 0.65 eV/f.u.
Fermi-level density of states: 1.6 states/eV/f.u.
distance to the lowest polymorph of the same formula: 0 meV/atom

Cell: 4.692 4.692 7.314 Å, 71.29 71.29 90.00°
Fractional positions:
1 Ir 0.375 0.707 0.750
2 Ir 0.457 0.625 0.250
3 Ir 0.293 0.125 0.250
4 Ir 0.875 0.543 0.750
5 Mg 0.750 0.250 0.500
6 Mg 0.000 0.000 0.000
7 O 0.250 0.750 0.500
8 O 0.500 0.500 0.000

---

A relaxed Mg3IrO4 crystal. Source: the Alexandria database, functional PBE-GGA.

Properties
energy: -6.012 eV/atom
magnetic moment: 0.42 μB/cell
E_form (uncorrected): -14.62 eV/f.u.
Fermi-level density of states: 1.3 states/eV/f.u.

Cell: 4.398 4.468 8.378 Å, 90.00 90.00 90.00°
Each line ends with the local moment (μB).
Fractional positions:
1 O 0.064 0.750 0.500  0.01
2 O 0.064 0.250 0.256  0.00
3 O 0.564 0.750 0.756  0.00
4 O 0.064 0.750 0.000  0.03
5 O 0.564 0.250 0.500  0.03
6 O 0.564 0.750 0.244  0.00
7 O 0.064 0.250 0.744  0.00
8 O 0.564 0.250 0.000  0.01
9 Mg 0.564 0.250 0.251  0.00
10 Mg 0.564 0.750 0.000  0.00
11 Mg 0.064 0.250 0.500  0.00
12 Mg 0.064 0.750 0.751  0.00
13 Mg 0.564 0.250 0.749  0.00
14 Mg 0.064 0.750 0.249  0.00
15 Ir 0.064 0.250 0.000  0.17
16 Ir 0.564 0.750 0.500  0.17

---

A relaxed Mg2Ir3O8 crystal. Source: the Alexandria database, functional PBE-GGA.

Properties
energy: -6.579 eV/atom
magnetic moment: 0.67 μB/cell
E_form (uncorrected): -16.09 eV/f.u.
Fermi-level density of states: 8.5 states/eV/f.u.

Cell: 5.477 5.747 5.747 Å, 60.16 78.96 78.96°
Each line ends with the local moment (μB).
Fractional positions:
1 O 0.360 0.120 0.644  0.02
2 O 0.879 0.377 0.377  0.03
3 O 0.640 0.356 0.880  0.02
4 O 0.874 0.907 0.907  0.00
5 O 0.640 0.880 0.356  0.02
6 O 0.360 0.644 0.120  0.02
7 O 0.126 0.093 0.093  0.00
8 O 0.121 0.623 0.623  0.03
9 Mg 0.587 0.288 0.288  0.00
10 Mg 0.413 0.712 0.712  0.00
11 Ir 0.000 0.728 0.272  0.14
12 Ir 0.500 0.000 0.000  0.17
13 Ir 0.000 0.272 0.728  0.14

---

A relaxed Mg3IrO crystal. Source: the Alexandria database, functional PBE-GGA.

Properties
energy: -4.772 eV/atom
magnetic moment: 0.00 μB/cell
E_form (uncorrected): -5.26 eV/f.u.
Fermi-level density of states: 1.5 states/eV/f.u.
distance to the lowest polymorph of the same formula: 0 meV/atom

Cell: 4.149 4.149 4.149 Å, 90.00 90.00 90.00°
Fractional positions:
1 Mg 0.500 0.000 0.000
2 Mg 0.000 0.500 0.000
3 Mg 0.000 0.000 0.500
4 O 0.000 0.000 0.000
5 Ir 0.500 0.500 0.500

---

A relaxed Mg3IrO crystal. Source: the Alexandria database, functional PBE-GGA.

Properties
energy: -3.400 eV/atom
magnetic moment: 0.00 μB/cell
E_form (uncorrected): 1.60 eV/f.u.
Fermi-level density of states: 4.5 states/eV/f.u.
distance to the lowest polymorph of the same formula: 1372 meV/atom

Cell: 4.875 4.875 4.875 Å, 90.00 90.00 90.00°
Fractional positions:
1 O 0.500 0.500 0.500
2 Ir 0.000 0.000 0.000
3 Mg 0.000 0.000 0.500
4 Mg 0.500 0.000 0.000
5 Mg 0.000 0.500 0.000

---

A relaxed Mg2IrO5 crystal. Source: the Alexandria database, functional PBE-GGA.

Properties
energy: -6.094 eV/atom
magnetic moment: 0.00 μB/cell
E_form (uncorrected): -11.91 eV/f.u.
Fermi-level density of states: 3.0 states/eV/f.u.

Cell: 5.482 6.148 9.287 Å, 90.00 90.00 90.00°
Fractional positions:
1 Mg 0.967 0.499 0.677
2 Mg 0.033 0.501 0.323
3 Mg 0.467 0.999 0.823
4 Mg 0.967 0.001 0.677
5 Mg 0.467 0.501 0.823
6 Mg 0.033 0.999 0.323
7 Mg 0.533 0.001 0.177
8 Mg 0.533 0.499 0.177
9 Ir 0.443 0.250 0.491
10 Ir 0.057 0.250 0.991
11 Ir 0.943 0.750 0.009
12 Ir 0.557 0.750 0.509
13 O 0.658 0.472 0.410
14 O 0.671 0.750 0.718
15 O 0.158 0.972 0.090
16 O 0.832 0.250 0.167
17 O 0.342 0.528 0.590
18 O 0.577 0.750 0.010
19 O 0.158 0.528 0.090
20 O 0.329 0.250 0.282
21 O 0.171 0.250 0.782
22 O 0.842 0.028 0.910
23 O 0.829 0.750 0.218
24 O 0.168 0.750 0.833
25 O 0.842 0.472 0.910
26 O 0.668 0.250 0.667
27 O 0.077 0.250 0.490
28 O 0.423 0.250 0.990
29 O 0.658 0.028 0.410
30 O 0.342 0.972 0.590
31 O 0.923 0.750 0.510
32 O 0.332 0.750 0.333

---

A relaxed Mg2IrO crystal. Source: the Alexandria database, functional PBE-GGA.

Properties
energy: -4.397 eV/atom
magnetic moment: 1.00 μB/cell
E_form (uncorrected): -0.58 eV/f.u.
Fermi-level density of states: 1.7 states/eV/f.u.
distance to the lowest polymorph of the same formula: 640 meV/atom

Cell: 4.366 4.366 4.366 Å, 60.00 60.00 60.00°
Each line ends with the local moment (μB).
Fractional positions:
1 O 0.000 0.000 0.000  0.35
2 Ir 0.500 0.500 0.500  0.69
3 Mg 0.750 0.750 0.750  -0.01
4 Mg 0.250 0.250 0.250  -0.01

---

A relaxed Mg2IrOsO crystal. Source: the Alexandria database, functional PBE-GGA.

Properties
energy: -5.034 eV/atom
magnetic moment: 1.84 μB/cell
E_form (uncorrected): 3.07 eV/f.u.
Fermi-level density of states: 4.2 states/eV/f.u.

Cell: 5.187 3.596 5.187 Å, 90.00 90.00 90.00°
Each line ends with the local moment (μB).
Fractional positions:
1 Mg 0.000 0.000 0.500  -0.02
2 Mg 0.500 0.000 0.000  -0.02
3 O 0.000 0.500 0.000  0.06
4 Os 0.500 0.500 0.500  1.56
5 Ir 0.000 0.000 0.000  0.18

---

A relaxed MgPaIrO6 crystal. Source: the Alexandria database, functional PBE-GGA.

Properties
energy: -7.671 eV/atom
magnetic moment: 4.09 μB/cell
E_form (uncorrected): -19.34 eV/f.u.
Fermi-level density of states: 5.0 states/eV/f.u.

Cell: 5.398 5.398 9.047 Å, 90.00 90.00 120.00°
Each line ends with the local moment (μB).
Fractional positions:
1 Ir 0.333 0.667 0.750  0.97
2 Ir 0.667 0.333 0.250  0.97
3 O 0.973 0.647 0.371  0.14
4 O 0.353 0.326 0.371  0.14
5 O 0.027 0.353 0.629  0.14
6 O 0.027 0.674 0.871  0.14
7 O 0.353 0.027 0.129  0.14
8 O 0.326 0.973 0.629  0.14
9 O 0.647 0.674 0.629  0.14
10 O 0.973 0.326 0.129  0.14
11 O 0.326 0.353 0.871  0.14
12 O 0.674 0.027 0.371  0.14
13 O 0.647 0.973 0.871  0.14
14 O 0.674 0.647 0.129  0.14
15 Pa 0.333 0.667 0.250  0.07
16 Pa 0.667 0.333 0.750  0.07
17 Mg 0.000 0.000 0.000  0.00
18 Mg 0.000 0.000 0.500  0.00

---

A relaxed Mg2PaIrO8 crystal. Source: the Alexandria database, functional PBE-GGA.

Properties
energy: -7.207 eV/atom
magnetic moment: 1.10 μB/cell
E_form (uncorrected): -25.27 eV/f.u.
Fermi-level density of states: 5.4 states/eV/f.u.

Cell: 4.745 4.744 6.560 Å, 90.00 90.00 91.51°
Each line ends with the local moment (μB).
Fractional positions:
1 Mg 0.500 0.500 0.756  0.00
2 Mg 0.500 0.500 0.244  0.00
3 O 0.305 0.305 0.500  0.02
4 O 0.695 0.695 0.500  0.02
5 O 0.194 0.805 0.219  0.07
6 O 0.194 0.805 0.781  0.07
7 O 0.716 0.717 0.000  0.06
8 O 0.284 0.283 0.000  0.06
9 O 0.806 0.195 0.219  0.07
10 O 0.806 0.195 0.781  0.07
11 Ir 0.000 0.000 0.000  0.51
12 Pa 0.000 0.000 0.500  0.02

---

A relaxed MgIr2PbO8 crystal. Source: the Alexandria database, functional PBE-GGA.

Properties
energy: -5.989 eV/atom
magnetic moment: 1.21 μB/cell
E_form (uncorrected): -9.17 eV/f.u.
Fermi-level density of states: 6.4 states/eV/f.u.

Cell: 5.445 5.445 6.141 Å, 90.00 90.00 120.00°
Each line ends with the local moment (μB).
Fractional positions:
1 Mg 0.000 0.000 0.000  0.00
2 O 0.309 0.941 0.144  0.03
3 O 0.333 0.667 0.645  0.22
4 O 0.667 0.333 0.355  0.22
5 O 0.631 0.691 0.144  0.03
6 O 0.941 0.631 0.856  0.03
7 O 0.691 0.059 0.856  0.03
8 O 0.369 0.309 0.856  0.03
9 O 0.059 0.369 0.144  0.03
10 Ir 0.667 0.333 0.053  0.20
11 Ir 0.333 0.667 0.947  0.20
12 Pb 0.000 0.000 0.500  0.01

---

A relaxed Mg2IrPbO8 crystal. Source: the Alexandria database, functional PBE-GGA.

Properties
energy: -5.849 eV/atom
magnetic moment: 0.00 μB/cell
E_form (uncorrected): -14.76 eV/f.u.
Fermi-level density of states: 4.6 states/eV/f.u.

Cell: 4.709 4.699 6.590 Å, 90.00 90.00 92.36°
Fractional positions:
1 O 0.192 0.806 0.211
2 O 0.287 0.286 0.000
3 O 0.713 0.714 0.000
4 O 0.808 0.194 0.211
5 O 0.192 0.806 0.789
6 O 0.317 0.316 0.500
7 O 0.808 0.194 0.789
8 O 0.683 0.684 0.500
9 Ir 0.000 0.000 0.000
10 Pb 0.000 0.000 0.500
11 Mg 0.500 0.500 0.754
12 Mg 0.500 0.500 0.246